Record 1
Material: CuMoSe2
Method: DFT, PBEsol
State: optimized geometry

a b c (Å): 6.8301 6.8301 6.8301
angles (deg): 152.34 150.70 40.73
Sites, in units of the cell vectors:
Cu 0.0000 0.0000 0.0000
Mo 0.3461 0.8461 0.5000
Se 0.5042 0.5042 0.0000
Se 0.7554 0.2554 0.5000

E_form (uncorrected): -2.332 kcal/mol of atoms
Symmetry: Imm2, No. 44



Record 2
Material: CuMo2Se
Method: DFT, PBEsol
State: optimized geometry

a b c (Å): 3.2470 3.2470 5.5807
angles (deg): 90.00 90.00 90.00
Sites, in units of the cell vectors:
Cu 0.0000 0.0000 0.0000
Mo 0.0000 0.0000 0.4772
Mo 0.5000 0.5000 0.2381
Se 0.5000 0.5000 0.7603

E_form (uncorrected): 3.753 kcal/mol of atoms
Symmetry: P4mm, No. 99



Record 3
Material: CuMoSe2
Method: DFT, PBEsol
State: optimized geometry

a b c (Å): 3.1301 3.1301 6.2589
angles (deg): 90.00 90.00 90.00
Sites, in units of the cell vectors:
Cu 0.0000 0.0000 0.0000
Mo 0.0000 0.0000 0.5000
Se 0.5000 0.5000 0.2599
Se 0.5000 0.5000 0.7401

E_form (uncorrected): -1.162 kcal/mol of atoms
Symmetry: P4/mmm, No. 123